The following is a DFT calculation (PBE) of a relaxed BSbPt3 crystal.

Properties
Volume in Å³ per cell: 81.1
E above lowest polymorph in meV per atom: 63
VASP energy in eV per atom: -5.866
Raw formation energy in eV/atom: -0.081
N(E_F) in states/eV/cell: 2.0

The structure in CIF format:
```
data_BSbPt3
_chemical_formula_sum 'B1 Sb1 Pt3'
_space_group_name_H-M_alt 'P 1'
_space_group_IT_number 1
_space_group_name_Hall 'P 1'
_cell_length_a 4.328
_cell_length_b 4.328
_cell_length_c 4.328
_cell_angle_alpha 90.00
_cell_angle_beta 90.00
_cell_angle_gamma 90.00
loop_
_atom_site_label
_atom_site_fract_x
_atom_site_fract_y
_atom_site_fract_z
Pt1 0.000 0.500 0.000
Pt2 0.500 0.000 0.000
Pt3 0.000 0.000 0.500
Sb1 0.500 0.500 0.500
B1 0.000 0.000 0.000
```